# 1
Below is an optimized crystal structure of LiCdBiO3, with properties calculated at the PBE level.

Summary:
Spin magnetization: 0.0 Bohr magnetons per cell
Crystal system: monoclinic
Raw formation energy: -1243 meV/atom

Lattice parameters (Å, degrees): 3.4264 7.3305 6.9724 104.24 90.00 90.00
Fractional coordinates of all 12 atoms:
1 O 0.2500 0.0647 0.8690
2 O 0.7500 0.9353 0.1310
3 Bi 0.7500 0.8297 0.7983
4 O 0.2500 0.6071 0.8679
5 Li 0.2500 0.0892 0.5986
6 Cd 0.2500 0.6272 0.1949
7 O 0.7500 0.3929 0.1321
8 O 0.2500 0.8197 0.4801
9 Cd 0.7500 0.3728 0.8051
10 O 0.7500 0.1803 0.5199
11 Li 0.7500 0.9108 0.4014
12 Bi 0.2500 0.1703 0.2017

***

# 2
Below is an optimized crystal structure of As3WBr, with properties calculated at the PBE level.

Summary:
Density of states at the Fermi level: 4.15 states/eV/f.u.
Spin magnetization: 0.0 Bohr magnetons per cell
Distance to the lowest polymorph of the same formula: 0.0000 eV per atom
Crystal system: cubic
Raw formation energy: 353 meV/atom

Lattice parameters (Å, degrees): 4.9125 4.9125 4.9125 90.00 90.00 90.00
Fractional coordinates of all 5 atoms:
1 Br 0.5000 0.5000 0.5000
2 W 0.0000 0.0000 0.0000
3 As 0.0000 0.5000 0.0000
4 As 0.5000 0.0000 0.0000
5 As 0.0000 0.0000 0.5000

***

# 3
Below is an optimized crystal structure of AlAs2Pb, with properties calculated at the PBE level.

Summary:
Formation enthalpy at 0 K: 0.01 eV/atom
Density of states at the Fermi level: 1.58 states/eV/f.u.
Spin magnetization: 0.0 Bohr magnetons per cell
Distance to the lowest polymorph of the same formula: 0.1306 eV per atom
Crystal system: monoclinic

Lattice parameters (Å, degrees): 3.9149 4.9377 5.1947 71.73 90.00 90.00
Fractional coordinates of all 4 atoms:
1 Al 0.5000 0.7500 0.7500
2 As 0.0000 0.0064 0.9187
3 As 0.0000 0.4936 0.5813
4 Pb 0.5000 0.2500 0.2500

***

# 4
Below is an optimized crystal structure of Ba4AcZr3O12, with properties calculated at the PBE level.

Summary:
Density of states at the Fermi level: 6.70 states/eV/f.u.
Spin magnetization: 0.0 Bohr magnetons per cell
Crystal system: cubic
Raw formation energy: -2989 meV/atom

Lattice parameters (Å, degrees): 7.5817 7.5817 7.5817 109.47 109.47 109.47
Fractional coordinates of all 20 atoms:
1 O 0.2666 0.2666 0.0000
2 Ba 0.0000 0.5000 0.0000
3 Zr 0.5000 0.0000 0.5000
4 O 0.7334 0.7334 0.0000
5 O 0.5000 0.2500 0.7500
6 Ac 0.0000 0.0000 0.0000
7 Ba 0.5000 0.0000 0.0000
8 Zr 0.0000 0.5000 0.5000
9 O 0.2500 0.7500 0.5000
10 O 0.0000 0.2666 0.2666
11 Ba 0.0000 0.0000 0.5000
12 O 0.0000 0.7334 0.7334
13 Ba 0.5000 0.5000 0.5000
14 O 0.5000 0.7500 0.2500
15 O 0.2500 0.5000 0.7500
16 Zr 0.5000 0.5000 0.0000
17 O 0.2666 0.0000 0.2666
18 O 0.7334 0.0000 0.7334
19 O 0.7500 0.5000 0.2500
20 O 0.7500 0.2500 0.5000